Below is a geometry-optimized Li2POs structure, with properties calculated at the GGA-PBEsol level.

Cell lengths 2.8999, 2.8999, 25.2125 Å; angles 90.00, 90.00, 120.00 degrees
Space group R3m (No. 160, hexagonal axes)
Asymmetric unit:
Li: 0.0000 0.0000 0.0000 [3 per cell]
Li: 0.0000 0.0000 0.2282 [3 per cell]
P: 0.0000 0.0000 0.7460 [3 per cell]
Os: 0.0000 0.0000 0.4764 [3 per cell]

Energy of formation from the pure elements (kJ/mol of formula units): -23
VASP energy (eV/atom): -5.5448
Theoretical density (g/cm³): 6.4
Density of states at the Fermi level (states/eV per cell): 5.14
Total magnetic moment (μB/f.u.): 0.00